# ZnReP2, optimized geometry, DFT GGA-PBE
data_ZnReP2
_chemical_formula_sum 'Zn2 Re2 P4'
_cell_length_a 7.7178
_cell_length_b 3.1442
_cell_length_c 5.6818
_cell_angle_alpha 90.00
_cell_angle_beta 99.65
_cell_angle_gamma 90.00
_symmetry_space_group_name_H-M 'C 1 m 1'
_symmetry_Int_Tables_number 8
loop_
_symmetry_equiv_pos_as_xyz
'x,y,z'
'x,-y,z'
'x+1/2,y+1/2,z'
'x+1/2,-y+1/2,z'
loop_
_atom_site_label
_atom_site_type_symbol
_atom_site_fract_x
_atom_site_fract_y
_atom_site_fract_z
_atom_site_occupancy
Zn1 Zn 0.0000 0.0000 0.0000 1
Re1 Re 0.3710 0.5000 0.5163 1
P1 P 0.0958 0.5000 0.6157 1
P2 P 0.3044 0.0000 0.1933 1
# final energy = -6.166 eV per atom
# energy relative to the elements = -0.031 eV/atom